1.
# Ba2LaTlC

A relaxed structure of Ba2LaTlC (PBEsol, the Alexandria database).

abc: 5.0560 5.5382 5.5382
angles: 90.00 90.00 90.00
Atoms (fractional coordinates):
La (0.5000, 0.5000, 0.5000)
Tl (0.5000, 0.0000, 0.0000)
C (0.0000, 0.0000, 0.0000)
Ba (0.0000, 0.0000, 0.5000)
Ba (0.0000, 0.5000, 0.0000)

DFT total energy (eV/atom): -3.74
Formation energy (meV per atom): 645

=====

2.
# ReHg2Pb

A relaxed structure of ReHg2Pb (PBEsol, the Alexandria database).

abc: 2.9280 2.9280 11.1347
angles: 90.00 90.00 114.71
Atoms (fractional coordinates):
Re (0.5000, 0.5000, 0.2428)
Pb (0.0000, 0.0000, 0.4612)
Hg (0.0000, 0.0000, 0.0274)
Hg (0.5000, 0.5000, 0.7686)

DFT total energy (eV/atom): -3.93
Formation energy (meV per atom): 689